# 1
VASP calculation (PBE) on a relaxed structure of Ac3YIn4.

**Energy relative to the elements**: -0.4391 eV/atom
**Calculated density**: 7.85 Mg/m³
**Space-group type**: P4/mmm, No. 123
**Crystal system**: tetragonal

Lattice parameters (Å, degrees): 3.9742 3.9742 16.4726 90.00 90.00 90.00
With the nearest neighbours (Å) after each atom.
Positions (direct):
1 Ac 0.5000 0.5000 0.5000  8 In 3.55, 4 Ac 3.97
2 In 0.0000 0.0000 0.3679  8 Ac 3.54-3.55
3 Ac 0.5000 0.5000 0.2374  8 In 3.54-3.57, 1 Y 3.91
4 Ac 0.5000 0.5000 0.7626  8 In 3.54-3.57, 1 Y 3.91
5 In 0.0000 0.0000 0.1032  4 Y 3.28, 1 In 3.40, 4 Ac 3.57
6 Y 0.5000 0.5000 0.0000  8 In 3.28
7 In 0.0000 0.0000 0.6321  8 Ac 3.54-3.55
8 In 0.0000 0.0000 0.8968  4 Y 3.28, 1 In 3.40, 4 Ac 3.57

# 2
VASP calculation (PBE) on a relaxed structure of AcY5In3.

**Energy relative to the elements**: -0.3418 eV/atom
**Calculated density**: 6.27 Mg/m³
**Space-group type**: P6_3/mcm, No. 193
**Crystal system**: hexagonal

Lattice parameters (Å, degrees): 6.8782 9.5030 9.5028 120.00 90.00 90.00
With the nearest neighbours (Å) after each atom.
Positions (direct):
1 Y 0.7500 0.6667 0.6667  5 In 3.08-3.44
2 In 0.7500 0.3427 0.3427  5 Y 3.08-3.44
3 In 0.7500 0.6573 0.0000  5 Y 3.08-3.44
4 Ac 0.5000 0.0000 0.0000  2 Ac 3.44, 6 Y 3.60, 6 In 3.68
5 Y 0.7500 0.0000 0.3333  5 In 3.08-3.44
6 In 0.2500 0.6573 0.6573  5 Y 3.08-3.44
7 Y 0.0000 0.3333 0.6667  8 Y 3.44-3.60, 6 In 3.57
8 Y 0.2500 0.6667 0.0000  5 In 3.08-3.44
9 Y 0.7500 0.3333 0.0000  5 In 3.08-3.44
10 In 0.7500 0.0000 0.6573  5 Y 3.08-3.44
11 Y 0.2500 0.3333 0.3333  5 In 3.08-3.44
12 In 0.2500 0.3427 0.0000  5 Y 3.08-3.44
13 Y 0.0000 0.6667 0.3333  8 Y 3.44-3.60, 6 In 3.57
14 Ac 0.0000 0.0000 0.0000  2 Ac 3.44, 6 Y 3.60, 6 In 3.68
15 Y 0.5000 0.3333 0.6667  8 Y 3.44-3.60, 6 In 3.57
16 In 0.2500 0.0000 0.3427  5 Y 3.08-3.44
17 Y 0.5000 0.6667 0.3333  8 Y 3.44-3.60, 6 In 3.57
18 Y 0.2500 0.0000 0.6667  5 In 3.08-3.44

# 3
VASP calculation (PBE) on a relaxed structure of AcY2Zn2In2.

**Energy relative to the elements**: -0.3045 eV/atom
**Calculated density**: 6.66 Mg/m³
**Space-group type**: R-3m, No. 166
**Crystal system**: trigonal

Lattice parameters (Å, degrees): 4.7699 4.7699 10.0682 76.30 76.30 60.00
With the nearest neighbours (Å) after each atom.
Positions (direct):
1 Y 0.1310 0.1310 0.6071  3 Zn 3.08, 3 In 3.16, 3 Y 3.45
2 Zn 0.5831 0.5831 0.2508  3 In 2.76, 3 Y 3.08
3 Ac 0.0000 0.0000 0.0000  6 In 3.57, 6 Zn 3.67, 2 Y 3.81
4 In 0.2554 0.2554 0.2339  3 Zn 2.76
5 In 0.7446 0.7446 0.7661  3 Zn 2.76
6 Y 0.8690 0.8690 0.3929  3 Zn 3.08, 3 In 3.16, 3 Y 3.45
7 Zn 0.4169 0.4169 0.7492  3 In 2.76, 3 Y 3.08

# 4
VASP calculation (PBE) on a relaxed structure of AcYZn2In2.

**Energy relative to the elements**: -0.4482 eV/atom
**Calculated density**: 7.27 Mg/m³
**Space-group type**: P-3m1, No. 164
**Crystal system**: trigonal

Lattice parameters (Å, degrees): 4.7397 4.7397 7.9361 90.00 90.00 120.00
With the nearest neighbours (Å) after each atom.
Positions (direct):
1 Zn 0.3333 0.6667 0.6959  3 In 2.74
2 In 0.3333 0.6667 0.2790  3 Zn 2.74
3 Y 0.0000 0.0000 0.5000  6 Zn 3.15, 6 In 3.25
4 Zn 0.6667 0.3333 0.3041  3 In 2.74
5 Ac 0.0000 0.0000 0.0000  6 In 3.52, 6 Zn 3.65
6 In 0.6667 0.3333 0.7210  3 Zn 2.74

# 5
VASP calculation (PBE) on a relaxed structure of Ac2YZn3In4.

**Energy relative to the elements**: -0.3481 eV/atom
**Calculated density**: 7.44 Mg/m³
**Space-group type**: P-4m2, No. 115
**Crystal system**: tetragonal

Lattice parameters (Å, degrees): 4.6512 4.6512 12.3595 90.00 90.00 90.00
With the nearest neighbours (Å) after each atom.
Positions (direct):
1 In 0.5000 0.5000 0.0000  4 Zn 2.82
2 Y 0.5000 0.5000 0.5000  4 In 3.01, 4 Zn 3.29
3 Ac 0.0000 0.5000 0.7685  4 Zn 3.52, 8 In 3.58-3.69
4 Zn 0.0000 0.0000 0.5000  4 In 3.01, 4 Y 3.29
5 In 0.0000 0.5000 0.3450  1 Zn 2.67
6 In 0.5000 0.0000 0.6550  1 Zn 2.67
7 Ac 0.5000 0.0000 0.2315  4 Zn 3.52, 8 In 3.58-3.69
8 In 0.0000 0.0000 0.0000  4 Zn 2.82
9 Zn 0.5000 0.0000 0.8708  5 In 2.67-2.82
10 Zn 0.0000 0.5000 0.1292  5 In 2.67-2.82

# 6
VASP calculation (PBE) on a relaxed structure of Ac8ZnIn2.

**Energy relative to the elements**: -0.1644 eV/atom
**Calculated density**: 8.24 Mg/m³
**Space-group type**: C2/m, No. 12
**Crystal system**: monoclinic

Lattice parameters (Å, degrees): 5.6592 7.5095 10.6591 102.59 105.39 90.00
With the nearest neighbours (Å) after each atom.
Positions (direct):
1 Ac 0.5919 0.4597 0.1839  1 Zn 3.54, 4 Ac 3.79-3.96, 2 In 3.79
2 Ac 0.7921 0.6949 0.5843  3 In 3.44-3.66, 2 Ac 3.76
3 Ac 0.0172 0.7736 0.0345  2 Zn 3.36, 1 In 3.50, 1 Ac 3.63
4 In 0.8151 0.2556 0.6302  9 Ac 3.44-3.79
5 Ac 0.3458 0.0256 0.6917  1 Zn 3.22, 3 In 3.45-3.50
6 Ac 0.9828 0.2264 0.9655  2 Zn 3.36, 1 In 3.50, 1 Ac 3.63
7 In 0.1849 0.7444 0.3698  9 Ac 3.44-3.79
8 Zn 0.5000 0.0000 0.0000  8 Ac 3.22-3.54
9 Ac 0.4081 0.5403 0.8161  1 Zn 3.54, 4 Ac 3.79-3.96, 2 In 3.79
10 Ac 0.2079 0.3051 0.4157  3 In 3.44-3.66, 2 Ac 3.76
11 Ac 0.6542 0.9744 0.3083  1 Zn 3.22, 3 In 3.45-3.50

# 7
VASP calculation (PBE) on a relaxed structure of Ac2ZnIn.

**Energy relative to the elements**: -0.3172 eV/atom
**Calculated density**: 8.08 Mg/m³
**Space-group type**: Fm-3m, No. 225
**Crystal system**: cubic

Lattice parameters (Å, degrees): 5.6922 5.6922 5.6922 60.00 60.00 60.00
With the nearest neighbours (Å) after each atom.
Positions (direct):
1 Ac 0.5000 0.5000 0.5000  4 Zn 3.49, 4 In 3.49
2 In 0.2500 0.2500 0.2500  8 Ac 3.49
3 Zn 0.7500 0.7500 0.7500  8 Ac 3.49
4 Ac 0.0000 0.0000 0.0000  4 In 3.49, 4 Zn 3.49

# 8
VASP calculation (PBE) on a relaxed structure of AcZn9In2.

**Energy relative to the elements**: -0.1055 eV/atom
**Calculated density**: 7.57 Mg/m³
**Space-group type**: R-3m, No. 166
**Crystal system**: trigonal

Lattice parameters (Å, degrees): 5.5785 5.5785 9.0952 72.14 72.14 60.00
With the nearest neighbours (Å) after each atom.
Positions (direct):
1 Zn 0.9171 0.4142 0.2545  7 Zn 2.64-2.81
2 Zn 0.5858 0.5858 0.7455  7 Zn 2.64-2.81
3 Zn 0.5000 0.5000 0.5000  6 Zn 2.64
4 Zn 0.4142 0.9171 0.2545  7 Zn 2.64-2.81
5 Zn 0.6681 0.6681 0.9956  6 Zn 2.66-2.73
6 In 0.1404 0.1404 0.5787  12 Zn 3.13-3.29, 3 In 3.49
7 Zn 0.4142 0.4142 0.2545  7 Zn 2.64-2.81
8 Zn 0.5858 0.0829 0.7455  7 Zn 2.64-2.81
9 Ac 0.0000 0.0000 0.0000  18 Zn 3.22-3.53, 2 In 3.58
10 Zn 0.3319 0.3319 0.0044  6 Zn 2.66-2.73
11 In 0.8596 0.8596 0.4213  12 Zn 3.13-3.29, 3 In 3.49
12 Zn 0.0829 0.5858 0.7455  7 Zn 2.64-2.81

# 9
VASP calculation (PBE) on a relaxed structure of Ac3ZnIn2.

**ΔE to the lowest computed polymorph**: 0 meV/atom
**Energy relative to the elements**: -0.3596 eV/atom
**Calculated density**: 8.18 Mg/m³
**Space-group type**: P4/mmm, No. 123
**Crystal system**: tetragonal

Lattice parameters (Å, degrees): 3.9733 3.9733 12.5536 90.00 90.00 90.00
With the nearest neighbours (Å) after each atom.
Positions (direct):
1 Ac 0.0000 0.0000 0.6515  4 Zn 3.39, 4 In 3.54
2 In 0.5000 0.5000 0.1764  8 Ac 3.54-3.58
3 In 0.5000 0.5000 0.8236  8 Ac 3.54-3.58
4 Zn 0.5000 0.5000 0.5000  8 Ac 3.39
5 Ac 0.0000 0.0000 0.3485  4 Zn 3.39, 4 In 3.54
6 Ac 0.0000 0.0000 0.0000  8 In 3.58, 4 Ac 3.97

# 10
VASP calculation (PBE) on a relaxed structure of Ac3ZnIn.

**ΔE to the lowest computed polymorph**: 88 meV/atom
**Energy relative to the elements**: -0.1554 eV/atom
**Calculated density**: 8.11 Mg/m³
**Space-group type**: P2_1/c, No. 14
**Crystal system**: monoclinic

Lattice parameters (Å, degrees): 6.4628 11.2119 10.6273 113.62 90.00 90.00
With the nearest neighbours (Å) after each atom.
Positions (direct):
1 Zn 0.8498 0.1391 0.4425  1 In 2.91, 3 Ac 3.20-3.25
2 Zn 0.3498 0.3609 0.0575  1 In 2.91, 3 Ac 3.20-3.25
3 Ac 0.9220 0.8412 0.8460  2 Zn 3.34-3.49, 2 In 3.59, 1 Ac 3.65
4 In 0.6033 0.1273 0.9687  1 Zn 2.91
5 Ac 0.0780 0.1588 0.1540  2 Zn 3.34-3.49, 2 In 3.59, 1 Ac 3.65
6 Ac 0.8237 0.4555 0.1052  3 Zn 3.21-3.54, 1 In 3.59
7 Zn 0.6502 0.6391 0.9425  1 In 2.91, 3 Ac 3.20-3.25
8 In 0.1033 0.3727 0.5313  1 Zn 2.91
9 Zn 0.1502 0.8609 0.5575  1 In 2.91, 3 Ac 3.20-3.25
10 Ac 0.8603 0.8397 0.2187  2 Zn 3.20-3.25
11 In 0.3967 0.8727 0.0313  1 Zn 2.91
12 Ac 0.6397 0.3397 0.7187  2 Zn 3.20-3.25
13 Ac 0.3603 0.6603 0.2813  2 Zn 3.20-3.25
14 Ac 0.1763 0.5445 0.8948  3 Zn 3.21-3.54, 1 In 3.59
15 Ac 0.1397 0.1603 0.7813  2 Zn 3.20-3.25
16 Ac 0.3237 0.0445 0.3948  3 Zn 3.21-3.54, 1 In 3.59
17 Ac 0.6763 0.9555 0.6052  3 Zn 3.21-3.54, 1 In 3.59
18 Ac 0.4220 0.6588 0.6540  2 Zn 3.34-3.49, 2 In 3.59, 1 Ac 3.65
19 In 0.8967 0.6273 0.4687  1 Zn 2.91
20 Ac 0.5780 0.3412 0.3460  2 Zn 3.34-3.49, 2 In 3.59, 1 Ac 3.65

# 11
VASP calculation (PBE) on a relaxed structure of Ac2Zn3In6.

**Energy relative to the elements**: -0.2859 eV/atom
**Calculated density**: 7.78 Mg/m³
**Space-group type**: P-62m, No. 189
**Crystal system**: hexagonal

Lattice parameters (Å, degrees): 4.6480 8.4259 8.4260 120.00 90.00 90.00
With the nearest neighbours (Å) after each atom.
Positions (direct):
1 In 0.0000 0.0000 0.7981  2 Zn 2.71, 2 In 2.95
2 Zn 0.5000 0.3671 0.3671  5 In 2.67-2.90
3 In 0.5000 0.0000 0.3155  3 Zn 2.67-2.90
4 Ac 0.0000 0.6667 0.3333  9 In 3.50-3.71, 6 Zn 3.55
5 Zn 0.5000 0.0000 0.6329  5 In 2.67-2.90
6 Ac 0.0000 0.3333 0.6667  9 In 3.50-3.71, 6 Zn 3.55
7 In 0.0000 0.2019 0.2019  2 Zn 2.71, 2 In 2.95
8 Zn 0.5000 0.6329 0.0000  5 In 2.67-2.90
9 In 0.5000 0.6845 0.6845  3 Zn 2.67-2.90
10 In 0.5000 0.3155 0.0000  3 Zn 2.67-2.90
11 In 0.0000 0.7981 0.0000  2 Zn 2.71, 2 In 2.95

# 12
VASP calculation (PBE) on a relaxed structure of Ac4ZnIn12.

**Energy relative to the elements**: -0.3711 eV/atom
**Calculated density**: 7.97 Mg/m³
**Space-group type**: Im-3m, No. 229
**Crystal system**: cubic

Lattice parameters (Å, degrees): 8.6010 8.6010 8.6010 109.47 109.47 109.47
With the nearest neighbours (Å) after each atom.
Positions (direct):
1 Ac 0.5000 0.5000 0.5000  12 In 3.51-3.54
2 In 0.2500 0.5000 0.7500  8 In 3.23-3.51, 4 Ac 3.51
3 Ac 0.0000 0.0000 0.5000  12 In 3.51-3.54
4 Ac 0.5000 0.0000 0.0000  12 In 3.51-3.54
5 In 0.0000 0.2925 0.2925  1 Zn 2.90, 4 In 3.23
6 Ac 0.0000 0.5000 0.0000  12 In 3.51-3.54
7 In 0.2500 0.7500 0.5000  8 In 3.23-3.51, 4 Ac 3.51
8 In 0.5000 0.2500 0.7500  8 In 3.23-3.51, 4 Ac 3.51
9 In 0.0000 0.7075 0.7075  1 Zn 2.90, 4 In 3.23
10 Zn 0.0000 0.0000 0.0000  6 In 2.90
11 In 0.5000 0.7500 0.2500  8 In 3.23-3.51, 4 Ac 3.51
12 In 0.2925 0.0000 0.2925  1 Zn 2.90, 4 In 3.23
13 In 0.2925 0.2925 0.0000  1 Zn 2.90, 4 In 3.23
14 In 0.7075 0.0000 0.7075  1 Zn 2.90, 4 In 3.23
15 In 0.7500 0.5000 0.2500  8 In 3.23-3.51, 4 Ac 3.51
16 In 0.7075 0.7075 0.0000  1 Zn 2.90, 4 In 3.23
17 In 0.7500 0.2500 0.5000  8 In 3.23-3.51, 4 Ac 3.51